Model one:
ScHgI3: relaxed, PBE. Values from VASP.

Results
For the density, the calculation gives 4385 kg/m3. Its total moment is 0.00 μB/cell.

```
&SYSTEM
  ibrav = 0, nat = 10, ntyp = 3
/
ATOMIC_SPECIES
Sc 44.96 Sc.upf
Hg 200.59 Hg.upf
I 126.90 I.upf
ATOMIC_POSITIONS angstrom
Sc 2.339 2.751 1.541
Sc 8.741 8.378 7.049
Hg 6.209 9.927 7.034
Hg 4.871 1.201 1.556
I 4.217 8.227 2.032
I 3.932 6.625 7.441
I 3.387 3.992 3.676
I 7.693 7.137 4.914
I 7.148 4.503 1.149
I 6.864 2.902 6.558
CELL_PARAMETERS angstrom
7.082 0.000 0.000
3.211 7.798 0.000
0.787 3.331 8.590
```

Model two:
ScHgI3: relaxed, PBE. Values from VASP.

Results
For the density, the calculation gives 3326 kg/m3. Its total moment is 0.00 μB/cell.

```
&SYSTEM
  ibrav = 0, nat = 5, ntyp = 3
/
ATOMIC_SPECIES
Sc 44.96 Sc.upf
Hg 200.59 Hg.upf
I 126.90 I.upf
ATOMIC_POSITIONS angstrom
Sc 0.000 0.000 0.000
Hg 0.000 0.000 5.786
I -3.339 -1.928 6.565
I 3.339 -1.928 6.565
I 0.000 3.855 6.565
CELL_PARAMETERS angstrom
5.563 3.212 2.916
-5.563 3.212 2.916
0.000 -6.424 2.916
```

Tell me which of them is the least stable. Sure, it is model two.

Model one:
MoSe: relaxed, PBE. Values from VASP.

Results
For the density, the calculation gives 7191 kg/m3. Its total moment is 0.00 μB/cell.

```
&SYSTEM
  ibrav = 0, nat = 12, ntyp = 2
/
ATOMIC_SPECIES
Mo 95.94 Mo.upf
Se 78.96 Se.upf
ATOMIC_POSITIONS angstrom
Mo 0.812 1.002 0.406
Mo 0.812 5.796 0.406
Mo 0.812 10.197 3.112
Mo 2.437 3.399 2.373
Mo 2.437 7.800 5.079
Mo 2.437 12.594 5.079
Se 0.812 3.399 0.591
Se 0.812 8.139 1.483
Se 0.812 12.255 1.483
Se 2.437 1.341 4.002
Se 2.437 5.457 4.002
Se 2.437 10.197 4.895
CELL_PARAMETERS angstrom
3.249 0.000 0.000
0.000 13.596 0.000
0.000 0.000 5.486
```

Model two:
MoSe: relaxed, PBE. Values from VASP.

Results
For the density, the calculation gives 8786 kg/m3. Its total moment is 0.00 μB/cell.

```
&SYSTEM
  ibrav = 0, nat = 4, ntyp = 2
/
ATOMIC_SPECIES
Mo 95.94 Mo.upf
Se 78.96 Se.upf
ATOMIC_POSITIONS angstrom
Mo 2.048 1.024 0.985
Mo 0.000 1.024 2.956
Se 2.048 -1.024 2.956
Se 0.000 3.072 0.985
CELL_PARAMETERS angstrom
-2.048 2.048 3.941
2.048 -2.048 3.941
2.048 2.048 -3.941
```

Tell me which of them is the least stable. Sure, it is model two.